Entry from Alexandria via LeMat-Bulk: a relaxed KVO2 crystal (PBE+U).

Cell: 6.661 6.661 5.506 Å, 52.78 52.78 90.00°
Site moments in Bohr magnetons follow the coordinates.
Sites, in units of the cell vectors:
V 0.750 0.250 0.500  1.88
V 0.250 0.750 0.500  1.88
O 0.643 0.857 0.000  -0.01
O 0.857 0.357 0.000  -0.01
O 0.357 0.143 0.000  -0.01
O 0.143 0.643 0.000  -0.01
K 0.250 0.250 0.500  0.01
K 0.750 0.750 0.500  0.01

Calculated values
As for the space group: I4/mcm (140). For the total energy, the calculation gives -50.0 eV per cell.